# 1
The following is a PBE-GGA calculation of crystalline NaIrRu2 at its relaxed geometry, from the Alexandria database.

Crystal system: tetragonal
Excess energy over the best structure of this formula in the dataset, eV/atom: 0.182
Calculated formation energy, eV/atom: 0.911
Magnetization, μB per formula unit: 0.0

Structure (extended XYZ):
```
8
Lattice="7.398 0.000 0.000 0.000 7.398 0.000 3.699 3.699 2.611" Properties=species:S:1:pos:R:3 pbc="T T T"
Na 3.699 3.699 0.000
Na 3.699 7.398 1.306
Ru 5.960 1.849 0.653
Ru 1.438 5.548 0.653
Ru 9.247 9.659 1.958
Ru 5.548 5.137 1.958
Ir 0.000 0.000 0.000
Ir 7.398 3.699 1.306
```



# 2
The following is a PBE-GGA calculation of crystalline Th2RuRh at its relaxed geometry, from the Alexandria database.

Crystal system: tetragonal
Calculated formation energy, eV/atom: -0.539
Magnetization, μB per formula unit: 0.0

Structure (extended XYZ):
```
4
Lattice="-0.015 -0.878 -3.399 5.045 -0.423 0.088 -0.432 -4.884 1.264" Properties=species:S:1:pos:R:3 pbc="T T T"
Th -0.216 -2.442 0.632
Th 2.522 -0.212 0.044
Ru -0.007 -0.439 -1.700
Rh 2.299 -3.093 -1.024
```